Crystalline RuWO4 at its relaxed geometry, computed with GGA+U.

Output
Calculated volume = 11.5 Å³ per atom
ρ = 8.372 Mg/m³
Total energy = -7.525 eV per atom

Cell: 5.6500 4.8694 5.6881 Å, 90.00 117.81 90.00°
Closest atoms and distances in Å follow each position.
Space group P2_1/c (No. 14)
Inequivalent atoms, fractional coordinates:
Ru 0.0000 0.0000 0.0000 x2  6 O 2.02-2.09
W 0.5000 0.0000 0.5000 x2  6 O 1.99-2.02
O 0.1551 0.2044 0.3637 x4  1 W 1.99, 2 Ru 2.02-2.09
O 0.3600 0.7087 0.6550 x4  2 W 2.02, 1 Ru 2.07